[1]
A plane-wave DFT calculation with SCAN was carried out for RePt2Au at its PBEsol-relaxed geometry.

Computed properties:
* formation energy: 351 meV per atom
* volume: 15.52 A^3/atom

```
4
Lattice="-4.329 -0.040 -1.003 -2.378 -3.712 0.564 -3.030 -0.227 3.243" Properties=species:S:1:pos:R:3 pbc="T T T"
Au 0.000 0.000 0.000
Pt -2.434 -0.995 0.701
Pt -7.303 -2.984 2.103
Re -4.869 -1.989 1.402
```


[2]
A plane-wave DFT calculation with SCAN was carried out for Pt2RhAu at its PBEsol-relaxed geometry.

Computed properties:
* formation energy: 44 meV per atom
* volume: 15.07 A^3/atom

```
4
Lattice="-0.243 2.178 -1.682 1.005 -0.121 -2.571 -7.753 -2.507 -4.397" Properties=species:S:1:pos:R:3 pbc="T T T"
Au 0.000 0.000 0.000
Rh -3.495 -0.225 -4.325
Pt -1.840 -0.149 -2.197
Pt -5.150 -0.300 -6.453
```


[3]
A plane-wave DFT calculation with SCAN was carried out for Pt2RhAu at its PBEsol-relaxed geometry.

Computed properties:
* formation energy: 72 meV per atom
* volume: 15.06 A^3/atom

```
4
Lattice="-3.821 0.697 0.490 0.481 -0.093 3.884 2.376 3.564 -2.182" Properties=species:S:1:pos:R:3 pbc="T T T"
Au 0.000 0.000 0.000
Rh -1.670 0.302 2.187
Pt -1.558 2.282 0.247
Pt 0.593 1.887 1.944
```


[4]
A plane-wave DFT calculation with SCAN was carried out for Pt2RhAu at its PBEsol-relaxed geometry.

Computed properties:
* formation energy: 90 meV per atom
* volume: 15.06 A^3/atom

```
4
Lattice="-0.650 -2.555 -0.887 1.558 -1.511 3.211 -4.947 0.366 2.571" Properties=species:S:1:pos:R:3 pbc="T T T"
Au -3.243 -1.760 3.084
Rh -2.425 0.179 1.260
Pt -0.034 0.002 0.018
Pt -0.811 -1.940 1.819
```


[5]
A plane-wave DFT calculation with SCAN was carried out for Pt2RhAu at its PBEsol-relaxed geometry.

Computed properties:
* formation energy: 90 meV per atom
* volume: 15.05 A^3/atom

```
4
Lattice="2.762 0.000 0.000 -1.381 4.581 0.001 0.000 -0.852 4.756" Properties=species:S:1:pos:R:3 pbc="T T T"
Au 1.381 2.091 1.195
Rh 1.381 -0.403 2.416
Pt 1.381 3.709 4.733
Pt 0.000 1.635 3.547
```


[6]
A plane-wave DFT calculation with SCAN was carried out for Pt2RhAu at its PBEsol-relaxed geometry.

Computed properties:
* formation energy: 67 meV per atom
* volume: 15.07 A^3/atom

```
4
Lattice="-0.469 2.691 0.473 -2.395 -0.636 1.243 3.722 -0.560 6.882" Properties=species:S:1:pos:R:3 pbc="T T T"
Au 1.340 0.610 5.984
Rh 1.820 -0.274 3.365
Pt 0.033 -0.005 0.061
Pt -0.474 0.883 2.629
```


[7]
A plane-wave DFT calculation with SCAN was carried out for Pt2RhAu at its PBEsol-relaxed geometry.

Computed properties:
* formation energy: 73 meV per atom
* volume: 15.05 A^3/atom

```
4
Lattice="-2.452 -0.637 -1.103 1.909 -4.115 1.595 -2.194 1.510 4.003" Properties=species:S:1:pos:R:3 pbc="T T T"
Au -1.226 -0.319 -0.552
Rh -1.097 0.755 2.002
Pt -2.520 -1.374 2.933
Pt -0.217 -1.868 1.562
```


[8]
A plane-wave DFT calculation with SCAN was carried out for Pt2RhAu at its PBEsol-relaxed geometry.

Computed properties:
* formation energy: 32 meV per atom
* volume: 15.09 A^3/atom

```
4
Lattice="-0.014 -2.766 -0.016 2.754 -0.013 -0.260 0.742 -0.049 7.852" Properties=species:S:1:pos:R:3 pbc="T T T"
Au 1.741 -1.414 3.788
Rh 1.370 -1.390 -0.138
Pt 0.568 -0.037 6.010
Pt 0.174 -0.011 1.842
```


[9]
A plane-wave DFT calculation with SCAN was carried out for Pt2RhAu at its PBEsol-relaxed geometry.

Computed properties:
* formation energy: 68 meV per atom
* volume: 15.07 A^3/atom

```
4
Lattice="-0.509 -0.280 -2.719 3.758 -0.769 -0.625 -0.989 -5.437 0.744" Properties=species:S:1:pos:R:3 pbc="T T T"
Au 1.130 -3.243 -1.300
Rh 1.625 -0.525 -1.672
Pt -0.753 -4.139 0.567
Pt -0.236 -1.298 0.178
```


[10]
A plane-wave DFT calculation with SCAN was carried out for RuPtAu2 at its PBEsol-relaxed geometry.

Computed properties:
* formation energy: 288 meV per atom
* volume: 15.59 A^3/atom

```
4
Lattice="-3.427 1.950 0.538 0.407 -0.372 3.941 3.471 2.624 -2.120" Properties=species:S:1:pos:R:3 pbc="T T T"
Au -0.733 2.682 0.329
Au 1.184 1.521 2.030
Pt -1.510 0.789 2.239
Ru 0.000 0.000 0.000
```


[11]
A plane-wave DFT calculation with SCAN was carried out for RuPt2Au at its PBEsol-relaxed geometry.

Computed properties:
* formation energy: 289 meV per atom
* volume: 15.26 A^3/atom

```
4
Lattice="4.420 0.000 0.000 2.210 3.828 0.000 2.210 1.276 3.609" Properties=species:S:1:pos:R:3 pbc="T T T"
Au 4.420 2.552 1.804
Pt 0.000 0.000 0.000
Pt 6.630 3.828 2.707
Ru 2.210 1.276 0.902
```


[12]
A plane-wave DFT calculation with SCAN was carried out for Ru2PtAu at its PBEsol-relaxed geometry.

Computed properties:
* formation energy: 497 meV per atom
* volume: 14.80 A^3/atom

```
4
Lattice="4.375 0.000 0.000 2.187 3.789 0.000 2.187 1.263 3.572" Properties=species:S:1:pos:R:3 pbc="T T T"
Au 0.000 0.000 0.000
Pt 4.375 2.526 1.786
Ru 2.187 1.263 0.893
Ru 6.562 3.789 2.679
```


[13]
A plane-wave DFT calculation with SCAN was carried out for RuPtAu3 at its PBEsol-relaxed geometry.

Computed properties:
* formation energy: 1427 meV per atom
* volume: 23.67 A^3/atom

```
5
Lattice="-1.518 4.127 -2.184 -2.477 -2.659 -3.302 -3.958 0.081 2.904" Properties=species:S:1:pos:R:3 pbc="T T T"
Ru -3.977 0.775 -1.291
Au -1.238 -1.329 -1.651
Au -1.979 0.041 1.452
Au -0.759 2.064 -1.092
Pt 0.000 0.000 0.000
```


[14]
A plane-wave DFT calculation with SCAN was carried out for RuPt2Au at its PBEsol-relaxed geometry.

Computed properties:
* formation energy: 26 meV per atom
* volume: 15.03 A^3/atom

```
4
Lattice="-1.573 -1.311 1.842 0.645 -2.411 -1.165 6.238 -0.675 4.847" Properties=species:S:1:pos:R:3 pbc="T T T"
Ru -0.464 -1.861 0.338
Au 2.655 -2.198 2.762
Pt 4.799 -0.519 3.729
Pt 1.439 -0.156 1.118
```


[15]
A plane-wave DFT calculation with SCAN was carried out for RuPt2Au at its PBEsol-relaxed geometry.

Computed properties:
* formation energy: 64 meV per atom
* volume: 15.02 A^3/atom

```
4
Lattice="2.759 0.000 0.000 1.379 2.389 0.000 1.379 0.796 9.112" Properties=species:S:1:pos:R:3 pbc="T T T"
Ru 2.759 1.593 4.556
Au 0.000 0.000 0.000
Pt 1.379 0.796 2.405
Pt 4.138 2.389 6.707
```


[16]
A plane-wave DFT calculation with SCAN was carried out for RuPt4Au at its PBEsol-relaxed geometry.

Computed properties:
* formation energy: 334 meV per atom
* volume: 16.28 A^3/atom

```
6
Lattice="-0.109 -1.659 4.895 -2.226 -4.522 1.147 2.911 -4.024 1.431" Properties=species:S:1:pos:R:3 pbc="T T T"
Au 0.000 0.000 0.000
Pt 0.216 -3.827 2.803
Pt 1.671 -5.839 3.518
Pt 0.161 -4.656 5.249
Pt -0.897 -6.088 3.376
Ru 0.432 -7.654 5.605
```


[17]
A plane-wave DFT calculation with SCAN was carried out for RuPt2Au at its PBEsol-relaxed geometry.

Computed properties:
* formation energy: 169 meV per atom
* volume: 14.96 A^3/atom

```
4
Lattice="3.902 0.000 0.000 0.000 3.902 0.000 -1.951 -1.951 3.929" Properties=species:S:1:pos:R:3 pbc="T T T"
Au 1.951 1.951 0.000
Pt 1.951 0.000 1.965
Pt 0.000 1.951 1.965
Ru 0.000 0.000 0.000
```


[18]
A plane-wave DFT calculation with SCAN was carried out for SbPt2Au at its PBEsol-relaxed geometry.

Computed properties:
* volume: 18.87 A^3/atom
* E: -247.1 eV per formula unit

```
4
Lattice="4.045 0.000 0.000 2.023 3.503 0.000 2.023 1.168 5.327" Properties=species:S:1:pos:R:3 pbc="T T T"
Au 2.023 1.168 1.223
Pt 2.023 1.168 5.246
Pt 6.068 3.503 4.054
Sb 4.045 2.335 2.794
```


[19]
A plane-wave DFT calculation with SCAN was carried out for SbPt2Au at its PBEsol-relaxed geometry.

Computed properties:
* volume: 17.12 A^3/atom
* E: -246.8 eV per formula unit

```
4
Lattice="4.133 0.000 0.000 0.000 4.133 0.000 -2.066 -2.066 4.009" Properties=species:S:1:pos:R:3 pbc="T T T"
Au 0.000 0.000 0.000
Pt 2.066 0.000 2.004
Pt 0.000 2.066 2.004
Sb 2.066 2.066 0.000
```


[20]
A plane-wave DFT calculation with SCAN was carried out for SbPt2Au at its PBEsol-relaxed geometry.

Computed properties:
* volume: 18.38 A^3/atom
* E: -247.3 eV per formula unit

```
4
Lattice="-2.772 1.306 -2.107 1.776 -1.165 -3.059 -2.472 -4.685 0.349" Properties=species:S:1:pos:R:3 pbc="T T T"
Au -2.528 -3.776 -2.297
Pt -2.306 -4.369 0.325
Pt -1.266 -1.384 -2.475
Sb -1.077 -2.041 0.152
```


[21]
A plane-wave DFT calculation with SCAN was carried out for ScPtAu at its PBEsol-relaxed geometry.

Computed properties:
* formation energy: -1081 meV per atom
* volume: 17.19 A^3/atom

```
3
Lattice="3.443 0.000 0.000 0.000 3.443 0.000 -1.721 -1.721 4.353" Properties=species:S:1:pos:R:3 pbc="T T T"
Sc 1.721 1.721 1.507
Au 0.000 0.000 0.016
Pt 0.000 0.000 2.830
```


[22]
A plane-wave DFT calculation with SCAN was carried out for ScPtAu at its PBEsol-relaxed geometry.

Computed properties:
* formation energy: -846 meV per atom
* volume: 16.97 A^3/atom

```
3
Lattice="2.879 0.000 0.000 0.000 4.519 0.000 0.000 -2.260 3.914" Properties=species:S:1:pos:R:3 pbc="T T T"
Au 2.830 0.000 0.000
Pt 1.902 0.000 2.609
Sc 1.026 2.260 1.305
```


[23]
A plane-wave DFT calculation with SCAN was carried out for ScTl2PtAu at its PBEsol-relaxed geometry.

Computed properties:
* formation energy: 257 meV per atom
* volume: 26.24 A^3/atom

```
5
Lattice="-4.400 -2.462 -0.404 2.275 -4.295 1.399 -1.038 1.050 4.910" Properties=species:S:1:pos:R:3 pbc="T T T"
Sc -1.581 -2.854 2.953
Tl 1.138 -2.148 0.700
Tl -2.200 -1.231 -0.202
Au -0.519 0.525 2.455
Pt 0.000 0.000 0.000
```


[24]
A plane-wave DFT calculation with SCAN was carried out for PtAu3Se at its PBEsol-relaxed geometry.

Computed properties:
* volume: 24.17 A^3/atom
* E: -292.7 eV per formula unit

```
5
Lattice="-0.062 3.559 3.431 -3.869 2.101 -2.249 -3.077 -2.713 2.759" Properties=species:S:1:pos:R:3 pbc="T T T"
Au -1.935 1.050 -1.125
Au -1.538 -1.357 1.380
Au -0.031 1.780 1.715
Se -3.504 1.473 1.970
Pt 0.000 0.000 0.000
```


[25]
A plane-wave DFT calculation with SCAN was carried out for Si2Pt2Au at its PBEsol-relaxed geometry.

Computed properties:
* volume: 15.67 A^3/atom
* E: -232.0 eV per formula unit

```
5
Lattice="3.693 0.000 0.000 0.000 3.693 0.000 -1.847 -1.847 5.746" Properties=species:S:1:pos:R:3 pbc="T T T"
Si 0.000 1.847 2.873
Si 1.847 0.000 2.873
Au 0.000 0.000 0.000
Pt 0.000 0.000 4.375
Pt 1.847 1.847 1.371
```


[26]
A plane-wave DFT calculation with SCAN was carried out for Si2PtAu at its PBEsol-relaxed geometry.

Computed properties:
* volume: 15.13 A^3/atom
* E: -158.9 eV per formula unit

```
4
Lattice="-0.378 3.052 2.900 2.036 -3.841 1.227 4.198 0.055 0.489" Properties=species:S:1:pos:R:3 pbc="T T T"
Au 1.910 1.554 1.694
Pt 0.000 0.000 0.000
Si 1.973 -1.143 1.460
Si 3.883 0.410 3.155
```


[27]
A plane-wave DFT calculation with SCAN was carried out for Si2PtAu at its PBEsol-relaxed geometry.

Computed properties:
* volume: 15.06 A^3/atom
* E: -158.8 eV per formula unit

```
4
Lattice="3.877 0.000 0.000 0.000 3.877 0.000 -1.938 -1.938 4.009" Properties=species:S:1:pos:R:3 pbc="T T T"
Au 1.938 1.938 0.000
Pt 0.000 1.938 2.004
Si 0.000 0.000 0.000
Si 1.938 0.000 2.004
```


[28]
A plane-wave DFT calculation with SCAN was carried out for Si2PtAu2 at its PBEsol-relaxed geometry.

Computed properties:
* volume: 16.51 A^3/atom
* E: -227.1 eV per formula unit

```
5
Lattice="3.777 0.000 0.000 0.000 3.777 0.000 -1.888 -1.888 5.786" Properties=species:S:1:pos:R:3 pbc="T T T"
Au 0.000 1.888 2.893
Au 1.888 0.000 2.893
Pt 0.000 0.000 0.000
Si 1.888 1.888 1.101
Si 0.000 0.000 4.686
```


[29]
A plane-wave DFT calculation with SCAN was carried out for SnPtAu3 at its PBEsol-relaxed geometry.

Computed properties:
* formation energy: 589 meV per atom
* volume: 24.68 A^3/atom

```
5
Lattice="4.978 0.000 0.000 0.000 4.978 0.000 0.000 0.000 4.978" Properties=species:S:1:pos:R:3 pbc="T T T"
Au 0.000 2.489 0.000
Au 0.000 0.000 2.489
Au 2.489 0.000 0.000
Sn 2.489 2.489 2.489
Pt 0.000 0.000 0.000
```


[30]
A plane-wave DFT calculation with SCAN was carried out for TiSn2PtAu at its PBEsol-relaxed geometry.

Computed properties:
* formation energy: 577 meV per atom
* volume: 24.49 A^3/atom

```
5
Lattice="-2.634 3.726 -0.040 -0.495 -0.295 5.149 4.202 2.976 0.574" Properties=species:S:1:pos:R:3 pbc="T T T"
Au 0.537 3.204 2.841
Sn 2.101 1.488 0.287
Sn -0.247 -0.147 2.574
Pt -1.317 1.863 -0.020
Ti 0.000 0.000 0.000
```